Record 1
Density functional theory data (GGA-PBE) for a geometry-optimized AlS4 structure.

Computed properties:
The calculation puts the density at 2.69 g cm⁻³.

Cell lengths 3.6137, 3.6138, 8.7029 Å; angles 77.92, 77.92, 60.21 degrees
Last column: nearest neighbours and their distance in Å.
Atoms (fractional coordinates):
Al (0.0000, 0.0000, 0.0000)  6 S 2.44-2.45
S (0.1418, 0.1418, 0.4288)  1 S 1.90
S (0.8582, 0.8582, 0.5712)  1 S 1.90
S (0.6167, 0.6167, 0.1506)  3 Al 2.44-2.45
S (0.3833, 0.3833, 0.8494)  3 Al 2.44-2.45

Record 2
Density functional theory data (GGA-PBE) for a geometry-optimized AlS8 structure.

Computed properties:
The calculation puts the density at 1.93 g cm⁻³.

Cell lengths 9.8192, 7.2662, 3.9129 Å; angles 101.63, 88.55, 116.50 degrees
Last column: nearest neighbours and their distance in Å.
Atoms (fractional coordinates):
Al (0.0000, 0.0000, 0.0000)  6 S 2.35-2.55
S (0.0744, 0.8363, 0.4349)  1 S 2.02
S (0.9256, 0.1637, 0.5651)  1 S 2.02
S (0.7018, 0.0811, 0.6171)  2 S 2.02-2.15
S (0.3859, 0.1960, 0.1656)  2 S 2.00-2.15
S (0.7707, 0.6974, 0.7925)  1 S 2.00
S (0.6141, 0.8040, 0.8344)  2 S 2.00-2.15
S (0.2982, 0.9189, 0.3829)  2 S 2.02-2.15
S (0.2293, 0.3026, 0.2075)  1 S 2.00

Record 3
Density functional theory data (GGA-PBE) for a geometry-optimized AlS2 structure.

Computed properties:
The calculation puts the density at 2.79 g cm⁻³.

Cell lengths 3.4804, 3.4804, 10.3206 Å; angles 90.00, 90.00, 120.00 degrees
Last column: nearest neighbours and their distance in Å.
Atoms (fractional coordinates):
Al (0.0000, 0.0000, 0.2500)  6 S 2.44
Al (0.0000, 0.0000, 0.7500)  6 S 2.44
S (0.6667, 0.3333, 0.3845)  3 Al 2.44
S (0.3333, 0.6667, 0.8845)  3 Al 2.44
S (0.3333, 0.6667, 0.6155)  3 Al 2.44
S (0.6667, 0.3333, 0.1155)  3 Al 2.44

Record 4
Density functional theory data (GGA-PBE) for a geometry-optimized AlS4 structure.

Computed properties:
The calculation puts the density at 2.69 g cm⁻³.

Cell lengths 4.5773, 4.5773, 4.5773 Å; angles 90.00, 90.00, 90.00 degrees
Last column: nearest neighbours and their distance in Å.
Atoms (fractional coordinates):
S (0.0000, 0.0000, 0.0000)  12 S 3.24
S (0.5000, 0.0000, 0.5000)  2 Al 2.29
S (0.0000, 0.5000, 0.5000)  2 Al 2.29
S (0.5000, 0.5000, 0.0000)  2 Al 2.29
Al (0.5000, 0.5000, 0.5000)  6 S 2.29

Number 1: formation energy without anion corrections -273.3 meV per atom. Number 2: formation energy without anion corrections -109.3 meV per atom. Number 3: formation energy without anion corrections -449.8 meV per atom. Number 4: formation energy without anion corrections 496.7 meV per atom.